Below is a relaxed structure of Y5As, with properties calculated at the GGA-PBE level.

Lattice parameters (Å, degrees): 6.3258 6.3258 8.5131 68.57 68.57 34.25
Positions (direct):
Y: 0.9718 0.9718 0.5564
Y: 0.6041 0.6041 0.1873
Y: 0.6448 0.6448 0.7525
Y: 0.2999 0.2999 0.3577
Y: 0.3397 0.3397 0.9250
As: 0.9730 0.9730 0.0546

- size of the total moment (Bohr magnetons per cell) = 0.000
- uncorrected energy (eV per atom) = -6.52
- symmetry = Cm, No. 8
- density of states at the Fermi level (states/eV/atom) = 1.35
- energy relative to the elements (eV per atom) = -0.357